Record 1
DFT (PBE) results for Y3Si4Pt7 after structural relaxation.

abc: 15.486 4.038 9.433
angles: 90.00 124.95 90.00
Space group C2/m (No. 12)
Symmetry-distinct sites (fractional):
Y (0.000, 0.000, 0.000)
Y (0.172, 0.500, 0.670)
Si (0.111, 0.000, 0.825)
Si (0.168, 0.500, 0.272)
Pt (0.000, 0.000, 0.500)
Pt (0.008, 0.500, 0.267)
Pt (0.169, 0.000, 0.418)
Pt (0.195, 0.500, 0.043)

Results
Density of states at the Fermi level (states/eV/cell): 12.21
Formation energy (no corrections) (eV per atom): -1.11
Final energy (eV/atom): -7.066

=====

Record 2
DFT (PBE) results for MnCu3Pd after structural relaxation.

abc: 12.217 4.355 5.153
angles: 90.00 104.81 90.00
Space group C2/m (No. 12)
Symmetry-distinct sites (fractional):
Mn (0.195, 0.000, 0.183)
Cu (0.006, 0.000, 0.755)
Cu (0.104, 0.500, 0.931)
Cu (0.196, 0.000, 0.689)
Pd (0.106, 0.500, 0.431)

Results
Density of states at the Fermi level (states/eV/cell): 8.04
Energy relative to the elements (eV/atom): -0.01
Final energy (eV/atom): -5.341